Record 1
Li4Ir3O8 (PBE, optimized geometry); DOS at the Fermi energy = 13.3 states/eV per cell; VASP energy = -91.91 eV for the cell shown; spin magnetization = 0.0 μB per formula unit; ΔE_f (raw) = -1.20 eV/atom
1.0
3.070 1.772 5.078
-3.070 1.772 5.078
0.000 -3.545 5.078
Li Ir O
4 3 8
Direct
0.000 0.000 0.000
0.143 0.143 0.143
0.500 0.500 0.500
0.857 0.857 0.857
0.000 0.500 0.500
0.500 0.000 0.500
0.500 0.500 0.000
0.244 0.244 0.720
0.244 0.720 0.244
0.267 0.267 0.267
0.280 0.756 0.756
0.720 0.244 0.244
0.733 0.733 0.733
0.756 0.280 0.756
0.756 0.756 0.280

Record 2
ZrV2Fe2 (PBE, optimized geometry); DOS at the Fermi energy = 15.0 states/eV per cell; VASP energy = -86.30 eV for the cell shown; ΔH_f (0 K) = 0.112 eV per atom; offset from the most stable computed form = 125.8 meV/atom; spin magnetization = 0.6 μB per formula unit
1.0
3.900 0.000 0.000
0.000 3.900 0.000
0.000 0.000 9.726
Zr V Fe
2 4 4
Direct
0.000 0.000 0.000
0.500 0.500 0.500
0.000 0.000 0.372
0.000 0.000 0.628
0.500 0.500 0.128
0.500 0.500 0.872
0.000 0.500 0.250
0.000 0.500 0.750
0.500 0.000 0.250
0.500 0.000 0.750

Record 3
Rb2PdPtS4 (PBE, optimized geometry); DOS at the Fermi energy = 4.1 states/eV per cell; VASP energy = -66.95 eV for the cell shown; spin magnetization = 0.0 μB per formula unit; ΔE_f (raw) = -0.47 eV/atom
1.0
0.000 6.672 11.290
3.022 0.000 11.290
3.022 6.672 0.000
Rb Pd Pt S
4 2 2 8
Direct
0.057 0.057 0.693
0.307 0.307 0.943
0.693 0.693 0.057
0.943 0.943 0.307
0.375 0.375 0.375
0.625 0.625 0.625
0.125 0.125 0.125
0.875 0.875 0.875
0.033 0.329 0.405
0.267 0.595 0.671
0.329 0.033 0.733
0.405 0.733 0.033
0.595 0.267 0.967
0.671 0.967 0.267
0.733 0.405 0.329
0.967 0.671 0.595

Record 4
Ba2Sb4Pd5 (PBE, optimized geometry); DOS at the Fermi energy = 3.6 states/eV per cell; VASP energy = -53.69 eV for the cell shown; spin magnetization = 0.0 μB per formula unit; ΔE_f (raw) = -0.67 eV/atom
1.0
0.000 5.650 7.851
3.140 0.000 7.851
3.140 5.650 0.000
Ba Sb Pd
2 4 5
Direct
0.141 0.141 0.859
0.859 0.859 0.141
0.214 0.536 0.464
0.464 0.786 0.214
0.536 0.214 0.786
0.786 0.464 0.536
0.000 0.000 0.500
0.250 0.250 0.250
0.500 0.500 0.000
0.500 0.500 0.500
0.750 0.750 0.750

Record 5
TiInH2Ir (PBE, optimized geometry); DOS at the Fermi energy = 3.4 states/eV per cell; VASP energy = -25.54 eV for the cell shown; spin magnetization = 0.0 μB per formula unit
1.0
3.762 0.000 0.000
0.000 3.762 0.000
0.000 0.000 5.042
Ti In H Ir
1 1 2 1
Direct
0.000 0.000 0.000
0.500 0.500 0.500
0.000 0.500 0.000
0.500 0.000 0.000
0.000 0.000 0.500

Record 6
PrYScAl (PBE, optimized geometry); DOS at the Fermi energy = 19.4 states/eV per cell; VASP energy = -86.95 eV for the cell shown; ΔH_f (0 K) = -0.105 eV per atom; spin magnetization = 1.1 μB per formula unit
1.0
7.527 0.000 0.000
0.000 7.527 0.000
0.000 0.000 7.527
Pr Y Sc Al
4 4 4 4
Direct
0.000 0.000 0.000
0.000 0.500 0.500
0.500 0.000 0.500
0.500 0.500 0.000
0.000 0.000 0.500
0.000 0.500 0.000
0.500 0.000 0.000
0.500 0.500 0.500
0.250 0.250 0.250
0.250 0.750 0.750
0.750 0.250 0.750
0.750 0.750 0.250
0.250 0.250 0.750
0.250 0.750 0.250
0.750 0.250 0.250
0.750 0.750 0.750